Record 1
DFT (PBE with a Hubbard U) results for Na4CoO3 after structural relaxation.

a b c (Å): 8.055 6.180 5.719
angles (deg): 117.48 90.05 111.05
Atoms (fractional coordinates):
Na 0.698 0.267 0.948
O 0.047 0.906 0.655
O 0.584 0.327 0.327
Na 0.290 0.826 0.736
Na 0.601 0.659 0.771
Na 0.101 0.659 0.193
O 0.359 0.666 0.990
Co 0.500 0.002 0.303
O 0.083 0.325 0.307
O 0.859 0.667 0.983
Na 0.378 0.458 0.225
O 0.546 0.908 0.558
Na 0.198 0.267 0.626
Na 0.789 0.824 0.396
Na 0.879 0.456 0.541
Co 0.000 0.001 0.003

Properties
Its total energy is -70.5 eV per cell. As for the magnetic moment: 0.37 μB/atom. As for the crystal system: triclinic. Its space group is No. 1.

***

Record 2
DFT (PBE with a Hubbard U) results for NaCoO3 after structural relaxation.

a b c (Å): 4.794 4.794 4.794
angles (deg): 90.00 90.00 90.00
Atoms (fractional coordinates):
O 0.000 0.500 0.500
Co 0.000 0.000 0.000
O 0.500 0.000 0.500
Na 0.500 0.500 0.500
O 0.500 0.500 0.000

Properties
Its total energy is -14.9 eV per cell. As for the magnetic moment: 0.40 μB/atom. As for the crystal system: cubic. Its space group is No. 221.

***

Record 3
DFT (PBE with a Hubbard U) results for Na5CoO4 after structural relaxation.

a b c (Å): 7.605 5.974 5.808
angles (deg): 90.00 90.00 90.00
Atoms (fractional coordinates):
Co 0.500 0.824 0.994
Na 0.696 0.390 0.249
Na 0.317 0.932 0.433
Na 0.304 0.390 0.249
Na 0.183 0.068 0.933
Na 0.500 0.329 0.746
Na 0.683 0.932 0.433
O 0.778 0.268 0.602
Na 0.804 0.610 0.749
Co 0.000 0.176 0.494
Na 0.000 0.671 0.246
O 0.000 0.263 0.185
O 0.500 0.737 0.685
O 0.000 0.870 0.599
O 0.500 0.130 0.099
Na 0.196 0.610 0.749
O 0.222 0.268 0.602
O 0.722 0.732 0.102
Na 0.817 0.068 0.933
O 0.278 0.732 0.102

Properties
Its total energy is -88.6 eV per cell. As for the magnetic moment: 0.40 μB/atom. As for the crystal system: orthorhombic. Its space group is No. 31.

***

Record 4
DFT (PBE with a Hubbard U) results for NaCoO2 after structural relaxation.

a b c (Å): 2.939 4.458 6.367
angles (deg): 90.00 90.00 90.00
Atoms (fractional coordinates):
Na 0.500 0.000 0.120
O 0.500 0.500 0.174
Na 0.000 0.500 0.880
O 0.000 0.000 0.408
O 0.500 0.500 0.592
O 0.000 0.000 0.826
Co 0.500 0.000 0.627
Co 0.000 0.500 0.373

Properties
Its total energy is -41.8 eV per cell. As for the magnetic moment: 1.00 μB/atom. As for the crystal system: orthorhombic. Its space group is No. 59.

***

Record 5
DFT (PBE with a Hubbard U) results for Na2CoP2O7 after structural relaxation.

a b c (Å): 15.239 10.082 7.627
angles (deg): 90.00 90.00 90.00
Atoms (fractional coordinates):
O 0.183 0.409 0.375
Na 0.946 0.749 0.878
O 0.646 0.890 0.568
O 0.195 0.915 0.200
Na 0.986 0.254 0.842
P 0.064 0.549 0.679
O 0.569 0.100 0.680
P 0.936 0.451 0.179
O 0.196 0.123 0.396
Na 0.693 0.240 0.654
O 0.136 0.629 0.239
Na 0.224 0.769 0.729
P 0.189 0.559 0.384
O 0.218 0.117 0.892
O 0.931 0.600 0.180
O 0.317 0.909 0.875
O 0.282 0.617 0.392
O 0.518 0.110 0.090
O 0.482 0.890 0.590
P 0.697 0.527 0.385
Co 0.121 0.502 0.045
O 0.096 0.899 0.800
O 0.683 0.091 0.375
O 0.605 0.584 0.469
O 0.431 0.900 0.180
O 0.864 0.371 0.739
O 0.423 0.117 0.357
O 0.453 0.614 0.145
O 0.069 0.400 0.680
O 0.895 0.084 0.969
O 0.146 0.610 0.568
O 0.047 0.114 0.645
O 0.462 0.605 0.613
P 0.197 0.973 0.385
Na 0.446 0.751 0.878
Na 0.724 0.731 0.729
O 0.404 0.399 0.300
P 0.436 0.049 0.179
O 0.636 0.871 0.239
P 0.949 0.036 0.143
O 0.305 0.415 0.700
O 0.038 0.105 0.113
O 0.596 0.601 0.800
Co 0.879 0.498 0.545
Na 0.807 0.740 0.154
P 0.803 0.027 0.885
O 0.304 0.623 0.896
Na 0.307 0.760 0.154
O 0.962 0.895 0.613
O 0.547 0.386 0.645
Co 0.868 0.999 0.507
P 0.811 0.441 0.884
P 0.449 0.464 0.143
O 0.364 0.129 0.739
O 0.018 0.390 0.090
O 0.395 0.416 0.969
O 0.804 0.877 0.896
O 0.077 0.617 0.857
O 0.805 0.085 0.700
Na 0.276 0.269 0.229
O 0.923 0.383 0.357
O 0.538 0.395 0.113
O 0.770 0.593 0.493
O 0.982 0.610 0.590
O 0.696 0.377 0.396
Na 0.514 0.754 0.342
O 0.270 0.907 0.493
Na 0.776 0.231 0.229
P 0.689 0.941 0.384
O 0.904 0.101 0.300
Co 0.379 0.002 0.545
Co 0.621 0.998 0.045
Na 0.193 0.260 0.654
Na 0.054 0.251 0.378
Na 0.554 0.249 0.378
P 0.551 0.536 0.643
Co 0.132 0.001 0.007
P 0.051 0.964 0.643
O 0.730 0.093 0.993
O 0.782 0.883 0.392
O 0.854 0.390 0.068
Na 0.014 0.746 0.342
O 0.354 0.110 0.068
O 0.105 0.916 0.469
O 0.695 0.585 0.200
P 0.303 0.473 0.885
O 0.817 0.591 0.875
Co 0.368 0.501 0.507
Co 0.632 0.499 0.007
O 0.718 0.383 0.892
P 0.311 0.059 0.884
Na 0.486 0.246 0.842
O 0.577 0.883 0.857
O 0.953 0.886 0.145
O 0.230 0.407 0.993
P 0.564 0.951 0.679

Properties
Its polymorph energy (0 for the lowest one) is 0.00 eV/f.u. As for the magnetic moment: 0.25 μB/atom. As for the crystal system: orthorhombic. Its space group is No. 33.

***

Record 6
DFT (PBE with a Hubbard U) results for NaCoP3O9 after structural relaxation.

a b c (Å): 6.099 6.099 6.099
angles (deg): 107.94 107.94 107.94
Atoms (fractional coordinates):
Na 0.495 0.495 0.495
O 0.626 0.240 0.836
O 0.867 0.946 0.629
P 0.903 0.480 0.017
O 0.629 0.867 0.946
O 0.130 0.102 0.400
Co 0.012 0.012 0.012
P 0.480 0.017 0.903
O 0.102 0.400 0.130
O 0.400 0.130 0.102
O 0.946 0.629 0.867
O 0.240 0.836 0.626
P 0.017 0.903 0.480
O 0.836 0.626 0.240

Properties
Its total energy is -94.1 eV per cell. As for the magnetic moment: 0.07 μB/atom. As for the crystal system: trigonal. Its space group is No. 146.

***

Record 7
DFT (PBE with a Hubbard U) results for Na2CoP2O7 after structural relaxation.

a b c (Å): 7.685 7.685 10.166
angles (deg): 90.00 90.00 90.00
Atoms (fractional coordinates):
O 0.638 0.638 0.856
Na 0.192 0.192 0.000
O 0.000 0.000 0.851
O 0.581 0.809 0.641
O 0.809 0.581 0.359
O 0.809 0.581 0.641
O 0.500 0.500 0.649
Na 0.357 0.643 0.000
Na 0.643 0.357 0.000
O 0.862 0.138 0.644
Co 0.500 0.000 0.250
P 0.140 0.860 0.207
Na 0.692 0.308 0.500
O 0.362 0.362 0.144
O 0.309 0.919 0.859
Na 0.808 0.808 0.000
P 0.640 0.640 0.707
P 0.860 0.140 0.793
O 0.691 0.081 0.141
O 0.581 0.809 0.359
P 0.360 0.360 0.707
O 0.691 0.081 0.859
O 0.919 0.309 0.859
O 0.138 0.862 0.356
Co 0.000 0.500 0.750
O 0.919 0.309 0.141
O 0.862 0.138 0.356
O 0.638 0.638 0.144
Co 0.000 0.500 0.250
O 0.419 0.191 0.641
Na 0.143 0.143 0.500
O 0.000 0.000 0.149
P 0.360 0.360 0.293
P 0.860 0.140 0.207
O 0.309 0.919 0.141
P 0.140 0.860 0.793
O 0.191 0.419 0.641
O 0.362 0.362 0.856
O 0.081 0.691 0.141
O 0.081 0.691 0.859
Co 0.500 0.000 0.750
Na 0.857 0.857 0.500
O 0.191 0.419 0.359
Na 0.308 0.692 0.500
O 0.419 0.191 0.359
O 0.138 0.862 0.644
O 0.500 0.500 0.351
P 0.640 0.640 0.293

Properties
Its polymorph energy (0 for the lowest one) is 0.05 eV/f.u. As for the magnetic moment: 0.25 μB/atom. As for the crystal system: tetragonal. Its space group is No. 136.

***

Record 8
DFT (PBE with a Hubbard U) results for Na2CoP2O7 after structural relaxation.

a b c (Å): 6.322 9.295 10.897
angles (deg): 65.00 86.71 73.95
Atoms (fractional coordinates):
O 0.405 0.324 0.949
O 0.793 0.879 0.043
O 0.044 0.531 0.711
O 0.211 0.113 0.961
O 0.108 0.934 0.844
Co 0.369 0.493 0.738
O 0.047 0.096 0.348
P 0.714 0.800 0.964
O 0.947 0.895 0.655
O 0.785 0.551 0.531
Co 0.723 0.889 0.224
O 0.612 0.661 0.049
P 0.299 0.190 0.039
Co 0.282 0.101 0.782
O 0.299 0.685 0.801
O 0.087 0.283 0.098
O 0.458 0.287 0.689
O 0.436 0.061 0.168
Na 0.813 0.482 0.952
O 0.711 0.317 0.188
O 0.228 0.451 0.474
P 0.572 0.705 0.456
Co 0.638 0.498 0.266
P 0.079 0.814 0.790
O 0.576 0.928 0.835
O 0.018 0.720 0.304
O 0.381 0.680 0.545
O 0.897 0.060 0.154
P 0.926 0.179 0.210
Na 0.026 0.817 0.478
O 0.963 0.449 0.312
O 0.638 0.862 0.436
Na 0.192 0.852 0.106
P 0.118 0.543 0.321
O 0.357 0.137 0.567
O 0.305 0.533 0.226
P 0.431 0.290 0.548
O 0.935 0.706 0.909
Na 0.406 0.142 0.343
O 0.548 0.704 0.316
Na 0.780 0.147 0.891
P 0.885 0.449 0.685
Na 0.364 0.515 0.032
Na 0.975 0.176 0.526
O 0.691 0.462 0.776
O 0.981 0.273 0.699
O 0.622 0.309 0.459
Na 0.577 0.857 0.657

Properties
Its polymorph energy (0 for the lowest one) is 0.18 eV/f.u. As for the magnetic moment: 0.00 μB/atom. As for the crystal system: triclinic. Its space group is No. 1.

***

Record 9
DFT (PBE with a Hubbard U) results for Na2Co5P4O16 after structural relaxation.

a b c (Å): 5.130 7.885 8.068
angles (deg): 110.22 91.08 101.64
Atoms (fractional coordinates):
O 0.337 0.506 0.816
O 0.669 0.824 0.436
O 0.331 0.176 0.564
O 0.740 0.168 0.095
O 0.245 0.675 0.130
P 0.383 0.699 0.964
O 0.314 0.220 0.976
Na 0.564 0.029 0.293
Co 0.353 0.593 0.331
O 0.888 0.247 0.523
O 0.711 0.637 0.628
Co 0.647 0.407 0.669
Co 0.094 0.257 0.780
O 0.260 0.832 0.905
Co 0.000 0.000 0.000
O 0.076 0.024 0.265
P 0.617 0.301 0.036
Na 0.436 0.971 0.707
O 0.686 0.780 0.024
P 0.140 0.209 0.428
O 0.663 0.494 0.184
O 0.924 0.976 0.735
O 0.755 0.325 0.870
P 0.860 0.791 0.572
O 0.112 0.753 0.477
Co 0.906 0.743 0.220
O 0.289 0.363 0.372

Properties
Its total energy is -177.9 eV per cell. As for the magnetic moment: 0.48 μB/atom. As for the crystal system: triclinic. Its space group is No. 2.

***

Record 10
DFT (PBE with a Hubbard U) results for Rb2Na4Co2O5 after structural relaxation.

a b c (Å): 6.436 6.436 10.147
angles (deg): 90.00 90.00 90.00
Atoms (fractional coordinates):
Co 0.789 0.211 0.000
O 0.500 0.500 0.500
O 0.219 0.219 0.667
O 0.719 0.281 0.833
Na 0.500 0.000 0.750
Rb 0.303 0.303 0.000
O 0.000 0.000 0.000
Rb 0.197 0.803 0.500
Na 0.500 0.000 0.250
Rb 0.697 0.697 0.000
Co 0.711 0.711 0.500
Rb 0.803 0.197 0.500
Na 0.500 0.500 0.277
Na 0.000 0.500 0.750
Na 0.500 0.500 0.723
O 0.719 0.281 0.167
O 0.781 0.781 0.333
O 0.281 0.719 0.167
Co 0.289 0.289 0.500
Na 0.000 0.500 0.250
Na 0.000 0.000 0.223
Na 0.000 0.000 0.777
O 0.781 0.781 0.667
O 0.219 0.219 0.333
O 0.281 0.719 0.833
Co 0.211 0.789 0.000

Properties
Its total energy is -116.2 eV per cell. As for the magnetic moment: 0.46 μB/atom. As for the crystal system: tetragonal. Its space group is No. 136.

***

Record 11
DFT (PBE with a Hubbard U) results for Na4CoReO6 after structural relaxation.

a b c (Å): 5.424 5.424 5.573
angles (deg): 99.56 99.56 119.91
Atoms (fractional coordinates):
O 0.547 0.925 0.212
Na 0.344 0.656 0.500
Na 0.500 0.500 0.000
O 0.953 0.598 0.207
O 0.075 0.453 0.788
O 0.402 0.047 0.793
Co 0.834 0.166 0.000
Na 0.661 0.339 0.500
O 0.807 0.783 0.789
Na 0.992 0.008 0.500
O 0.217 0.193 0.211
Re 0.167 0.833 0.000

Properties
Its total energy is -70.9 eV per cell. As for the magnetic moment: 0.33 μB/atom. As for the crystal system: monoclinic. Its space group is No. 5.

***

Record 12
DFT (PBE with a Hubbard U) results for Na2CoReO6 after structural relaxation.

a b c (Å): 5.293 5.340 9.265
angles (deg): 90.00 124.76 90.00
Atoms (fractional coordinates):
O 0.741 0.782 0.040
Co 0.000 0.000 0.000
Na 0.760 0.033 0.252
O 0.825 0.289 0.035
O 0.175 0.789 0.465
O 0.741 0.718 0.540
O 0.259 0.282 0.460
O 0.668 0.017 0.741
O 0.825 0.211 0.535
O 0.332 0.517 0.759
O 0.259 0.218 0.960
Na 0.760 0.467 0.752
O 0.668 0.483 0.241
Na 0.240 0.533 0.248
O 0.175 0.711 0.965
Re 0.500 0.500 0.000
O 0.332 0.983 0.259
Re 0.500 0.000 0.500
Co 0.000 0.500 0.500
Na 0.240 0.967 0.748

Properties
Its total energy is -129.0 eV per cell. As for the magnetic moment: 0.40 μB/atom. As for the crystal system: monoclinic. Its space group is No. 14.

***

> Which value of magnetic moment does entry 2 give?

0.40 μB/atom